DFT (PBE) results for an optimized crystal structure of Ca8Sn5H.

Lattice parameters (Å, degrees): 8.2721 8.2721 8.2721 110.42 107.58 110.42
Last column: nearest neighbours and their distance in Å.
Fractional coordinates of all 14 atoms:
Sn  0.5000  0.0000  0.5000  8 Ca 3.43-3.47
Ca  0.5475  0.8052  0.8039  1 H 2.62
Sn  0.0844  0.4360  0.1916  6 Ca 3.05-3.34
Ca  0.5060  0.5645  0.2692  4 Sn 3.05-3.34
Ca  0.2577  0.2564  0.4525  1 H 2.62
H  0.2500  0.5000  0.7500  4 Ca 2.62
Sn  0.8084  0.8929  0.2444  6 Ca 3.05-3.34
Ca  0.0585  0.7633  0.4940  4 Sn 3.05-3.34
Ca  0.7308  0.2367  0.2952  4 Sn 3.05-3.34
Ca  0.1961  0.7436  0.0013  1 H 2.62
Sn  0.3516  0.1071  0.9156  6 Ca 3.05-3.34
Ca  0.7048  0.4355  0.9415  4 Sn 3.05-3.34
Sn  0.7556  0.5640  0.6484  6 Ca 3.05-3.34
Ca  0.9987  0.1948  0.7423  1 H 2.62

Computed properties:
The total energy comes out at -3.31 eV/atom. The crystal system is tetragonal. The total moment is 0.000 Bohr magnetons per cell.